No. 1
The following is a DFT calculation (PBE) of a relaxed structure of Na2LiCa2.

Cell and atoms, written as POSCAR:
```
Na2LiCa2
1.0
7.935 0.000 0.000
0.000 7.935 0.000
0.000 0.000 5.723
Na Li Ca
4 2 4
direct
0.137 0.363 0.000 Na
0.363 0.863 0.000 Na
0.637 0.137 0.000 Na
0.863 0.637 0.000 Na
0.000 0.000 0.000 Li
0.500 0.500 0.000 Li
0.177 0.677 0.500 Ca
0.323 0.177 0.500 Ca
0.677 0.823 0.500 Ca
0.823 0.323 0.500 Ca
```

Output
- Crystal system: tetragonal

No. 2
The following is a DFT calculation (PBE) of a relaxed structure of NaLi12Ca16.

Cell and atoms, written as POSCAR:
```
NaLi12Ca16
1.0
6.246 -8.527 0.000
6.246 8.527 0.000
-5.543 0.000 9.126
Na Li Ca
1 12 16
direct
0.000 0.000 0.000 Na
0.040 0.669 0.473 Li
0.041 0.858 0.293 Li
0.373 0.563 0.989 Li
0.380 0.380 0.185 Li
0.515 0.903 0.133 Li
0.519 0.519 0.520 Li
0.563 0.373 0.989 Li
0.669 0.040 0.473 Li
0.672 0.861 0.654 Li
0.858 0.041 0.293 Li
0.861 0.672 0.654 Li
0.903 0.515 0.133 Li
0.001 0.384 0.619 Ca
0.005 0.005 0.617 Ca
0.060 0.321 0.944 Ca
0.106 0.705 0.971 Ca
0.109 0.349 0.320 Ca
0.321 0.060 0.944 Ca
0.329 0.696 0.313 Ca
0.330 0.330 0.676 Ca
0.349 0.109 0.320 Ca
0.353 0.705 0.728 Ca
0.384 0.001 0.619 Ca
0.687 0.687 0.302 Ca
0.696 0.329 0.313 Ca
0.705 0.106 0.971 Ca
0.705 0.353 0.728 Ca
0.705 0.705 0.951 Ca
```

Output
- Crystal system: monoclinic

No. 3
The following is a DFT calculation (PBE) of a relaxed structure of Na2LiCa.

Cell and atoms, written as POSCAR:
```
Na2LiCa
1.0
4.917 0.000 0.000
0.000 4.917 0.000
0.000 0.000 5.658
Na Li Ca
2 1 1
direct
0.000 0.500 0.000 Na
0.500 0.000 0.000 Na
0.000 0.000 0.500 Li
0.500 0.500 0.500 Ca
```

Output
- Crystal system: tetragonal

No. 4
The following is a DFT calculation (PBE) of a relaxed structure of Na3Li5Ca12.

Cell and atoms, written as POSCAR:
```
Na3Li5Ca12
1.0
-9.483 9.483 9.483
9.483 -9.483 9.483
9.483 9.483 -9.483
Na Li Ca
12 20 48
direct
0.125 0.250 0.375 Na
0.125 0.375 0.750 Na
0.250 0.375 0.125 Na
0.250 0.875 0.625 Na
0.375 0.125 0.250 Na
0.375 0.750 0.125 Na
0.625 0.250 0.875 Na
0.625 0.875 0.750 Na
0.750 0.125 0.375 Na
0.750 0.625 0.875 Na
0.875 0.625 0.250 Na
0.875 0.750 0.625 Na
0.000 0.000 0.000 Li
0.000 0.000 0.500 Li
0.000 0.500 0.000 Li
0.000 0.500 0.500 Li
0.125 0.750 0.875 Li
0.125 0.875 0.250 Li
0.250 0.125 0.875 Li
0.250 0.625 0.375 Li
0.375 0.250 0.625 Li
0.375 0.625 0.750 Li
0.500 0.000 0.000 Li
0.500 0.000 0.500 Li
0.500 0.500 0.000 Li
0.500 0.500 0.500 Li
0.625 0.375 0.250 Li
0.625 0.750 0.375 Li
0.750 0.375 0.625 Li
0.750 0.875 0.125 Li
0.875 0.125 0.750 Li
0.875 0.250 0.125 Li
0.039 0.211 0.114 Ca
0.039 0.328 0.925 Ca
0.075 0.614 0.404 Ca
0.075 0.961 0.672 Ca
0.096 0.711 0.672 Ca
0.096 0.886 0.425 Ca
0.114 0.039 0.211 Ca
0.114 0.575 0.904 Ca
0.172 0.211 0.596 Ca
0.172 0.461 0.575 Ca
0.211 0.114 0.039 Ca
0.211 0.596 0.172 Ca
0.289 0.328 0.904 Ca
0.289 0.461 0.386 Ca
0.328 0.904 0.289 Ca
0.328 0.925 0.039 Ca
0.386 0.289 0.461 Ca
0.386 0.596 0.925 Ca
0.404 0.075 0.614 Ca
0.404 0.828 0.789 Ca
0.425 0.096 0.886 Ca
0.425 0.828 0.539 Ca
0.461 0.386 0.289 Ca
0.461 0.575 0.172 Ca
0.539 0.425 0.828 Ca
0.539 0.614 0.711 Ca
0.575 0.172 0.461 Ca
0.575 0.904 0.114 Ca
0.596 0.172 0.211 Ca
0.596 0.925 0.386 Ca
0.614 0.404 0.075 Ca
0.614 0.711 0.539 Ca
0.672 0.075 0.961 Ca
0.672 0.096 0.711 Ca
0.711 0.539 0.614 Ca
0.711 0.672 0.096 Ca
0.789 0.404 0.828 Ca
0.789 0.886 0.961 Ca
0.828 0.539 0.425 Ca
0.828 0.789 0.404 Ca
0.886 0.425 0.096 Ca
0.886 0.961 0.789 Ca
0.904 0.114 0.575 Ca
0.904 0.289 0.328 Ca
0.925 0.039 0.328 Ca
0.925 0.386 0.596 Ca
0.961 0.672 0.075 Ca
0.961 0.789 0.886 Ca
```

Output
- Crystal system: cubic

No. 5
The following is a DFT calculation (PBE) of a relaxed structure of NaLi9Ca2.

Cell and atoms, written as POSCAR:
```
NaLi9Ca2
1.0
3.036 1.753 9.735
-3.036 1.753 9.735
0.000 -3.506 9.735
Na Li Ca
1 9 2
direct
0.000 0.000 0.000 Na
0.080 0.585 0.585 Li
0.334 0.334 0.334 Li
0.415 0.415 0.920 Li
0.415 0.920 0.415 Li
0.500 0.500 0.500 Li
0.585 0.080 0.585 Li
0.585 0.585 0.080 Li
0.666 0.666 0.666 Li
0.920 0.415 0.415 Li
0.141 0.141 0.141 Ca
0.859 0.859 0.859 Ca
```

Output
- Crystal system: trigonal

No. 6
The following is a DFT calculation (PBE) of a relaxed structure of NaLiCa.

Cell and atoms, written as POSCAR:
```
NaLiCa
1.0
3.755 0.000 0.000
1.875 3.253 0.000
0.005 0.004 16.948
Na Li Ca
2 2 2
direct
0.000 0.000 0.000 Na
0.334 0.334 0.186 Na
0.006 0.003 0.655 Li
0.340 0.337 0.531 Li
0.670 0.668 0.812 Ca
0.672 0.670 0.374 Ca
```

Output
- Crystal system: triclinic

No. 7
The following is a DFT calculation (PBE) of a relaxed structure of NaLiCa2.

Cell and atoms, written as POSCAR:
```
NaLiCa2
1.0
-4.508 4.508 3.581
4.508 -4.508 3.581
4.508 4.508 -3.581
Na Li Ca
2 2 4
direct
0.000 0.000 0.000 Na
0.750 0.250 0.500 Na
0.250 0.750 0.500 Li
0.500 0.500 0.000 Li
0.148 0.625 0.023 Ca
0.375 0.398 0.523 Ca
0.602 0.125 0.977 Ca
0.875 0.852 0.477 Ca
```

Output
- Crystal system: tetragonal

No. 8
The following is a DFT calculation (PBE) of a relaxed structure of NaLiCaNd.

Cell and atoms, written as POSCAR:
```
NaLiCaNd
1.0
0.000 4.024 4.024
4.024 0.000 4.024
4.024 4.024 0.000
Na Li Ca Nd
1 1 1 1
direct
0.000 0.000 0.000 Na
0.500 0.500 0.500 Li
0.750 0.750 0.750 Ca
0.250 0.250 0.250 Nd
```

Output
- Crystal system: cubic

No. 9
The following is a DFT calculation (PBE) of a relaxed structure of NaLi2CaPb2.

Cell and atoms, written as POSCAR:
```
NaLi2CaPb2
1.0
5.101 0.000 0.000
-2.551 4.418 0.000
0.000 0.000 6.753
Na Li Ca Pb
1 2 1 2
direct
0.000 0.000 0.000 Na
0.333 0.667 0.773 Li
0.667 0.333 0.227 Li
0.000 0.000 0.500 Ca
0.333 0.667 0.267 Pb
0.667 0.333 0.733 Pb
```

Output
- Crystal system: trigonal

No. 10
The following is a DFT calculation (PBE) of a relaxed structure of NaLi2Ca2Pb2.

Cell and atoms, written as POSCAR:
```
NaLi2Ca2Pb2
1.0
2.536 1.464 8.905
-2.536 1.464 8.905
0.000 -2.928 8.905
Na Li Ca Pb
1 2 2 2
direct
0.000 0.000 0.000 Na
0.375 0.375 0.375 Li
0.625 0.625 0.625 Li
0.126 0.126 0.126 Ca
0.874 0.874 0.874 Ca
0.259 0.259 0.259 Pb
0.741 0.741 0.741 Pb
```

Output
- Crystal system: trigonal

Listing formation energy from the elements for the structures above in their given order: 122, 41, 87, 405, 37, 88, 219, 207, -305, -311 meV per atom.
Listing D(E_F) for the structures above in their given order: 0.80, 0.65, 0.60, 1.23, 0.64, 0.93, 0.78, 1.32, 0.41, 0.70 states/eV/atom.